# 1
Compound: KYCl2O
Source: Alexandria via LeMat-Bulk
Functional: PBE
Structure: relaxed

## Properties
The calculation puts the uncorrected formation energy at -2.3384 eV per atom.

```
data_KYCl2O
_symmetry_space_group_name_H-M 'P 4/m m m'
_symmetry_Int_Tables_number 123
_symmetry_space_group_name_Hall '-P 4 2'
_cell_length_a 5.5197
_cell_length_b 5.5197
_cell_length_c 4.2589
_cell_angle_alpha 90.00
_cell_angle_beta 90.00
_cell_angle_gamma 90.00
loop_
_atom_site_label
_atom_site_type_symbol
_atom_site_fract_x
_atom_site_fract_y
_atom_site_fract_z
_atom_site_occupancy
K1 K 0.0000 0.0000 0.0000 1
Y1 Y 0.5000 0.5000 0.5000 1
Cl1 Cl 0.0000 0.5000 0.5000 1
O1 O 0.5000 0.5000 0.0000 1
```



# 2
Compound: KZnCl3O2
Source: Alexandria via LeMat-Bulk
Functional: PBE
Structure: relaxed

## Properties
The calculation puts the uncorrected formation energy at -1.0565 eV per atom.

```
data_KZnCl3O2
_symmetry_space_group_name_H-M 'P 1 21/c 1'
_symmetry_Int_Tables_number 14
_cell_length_a 6.2415
_cell_length_b 11.2250
_cell_length_c 11.5713
_cell_angle_alpha 90.00
_cell_angle_beta 98.06
_cell_angle_gamma 90.00
loop_
_symmetry_equiv_pos_as_xyz
'x,y,z'
'-x,-y,-z'
'-x,y+1/2,-z+1/2'
'x,-y+1/2,z+1/2'
loop_
_atom_site_label
_atom_site_type_symbol
_atom_site_fract_x
_atom_site_fract_y
_atom_site_fract_z
_atom_site_occupancy
K1 K 0.0936 0.1808 0.3175 1
Zn1 Zn 0.4780 0.6049 0.8976 1
Cl1 Cl 0.2048 0.5925 0.7524 1
Cl2 Cl 0.2675 0.2454 0.5843 1
Cl3 Cl 0.3605 0.5895 0.0852 1
O1 O 0.2414 0.5745 0.4013 1
O2 O 0.3265 0.0233 0.8919 1
```



# 3
Compound: K2ZrCl2O2
Source: Alexandria via LeMat-Bulk
Functional: PBE
Structure: relaxed

## Properties
The calculation puts the uncorrected formation energy at -2.3500 eV per atom.

```
data_K2ZrCl2O2
_symmetry_space_group_name_H-M 'I 4/m m m'
_symmetry_Int_Tables_number 139
_symmetry_space_group_name_Hall '-I 4 2'
_cell_length_a 4.2431
_cell_length_b 4.2431
_cell_length_c 16.2783
_cell_angle_alpha 90.00
_cell_angle_beta 90.00
_cell_angle_gamma 90.00
loop_
_atom_site_label
_atom_site_type_symbol
_atom_site_fract_x
_atom_site_fract_y
_atom_site_fract_z
_atom_site_occupancy
K1 K 0.0000 0.0000 0.1249 1
Zr1 Zr 0.0000 0.0000 0.5000 1
Cl1 Cl 0.0000 0.0000 0.3374 1
O1 O 0.0000 0.5000 0.0000 1
```



# 4
Compound: K2Os2Cl
Source: Alexandria via LeMat-Bulk
Functional: PBE
Structure: relaxed

## Properties
The calculation puts the uncorrected formation energy at 0.8605 eV per atom.

```
data_K2Os2Cl
_symmetry_space_group_name_H-M 'P 4/m b m'
_symmetry_Int_Tables_number 127
_symmetry_space_group_name_Hall '-P 4 2ab'
_cell_length_a 10.3336
_cell_length_b 10.3336
_cell_length_c 2.6835
_cell_angle_alpha 90.00
_cell_angle_beta 90.00
_cell_angle_gamma 90.00
loop_
_atom_site_label
_atom_site_type_symbol
_atom_site_fract_x
_atom_site_fract_y
_atom_site_fract_z
_atom_site_occupancy
K1 K 0.2022 0.2978 0.0000 1
Os1 Os 0.0764 0.5764 0.5000 1
Cl1 Cl 0.0000 0.0000 0.0000 1
```



# 5
Compound: KOsCl
Source: Alexandria via LeMat-Bulk
Functional: PBE
Structure: relaxed

## Properties
The calculation puts the uncorrected formation energy at 0.9005 eV per atom.

```
data_KOsCl
_symmetry_space_group_name_H-M 'F m m 2'
_symmetry_Int_Tables_number 42
_symmetry_space_group_name_Hall 'F 2 -2'
_cell_length_a 3.7886
_cell_length_b 4.8636
_cell_length_c 14.0675
_cell_angle_alpha 90.00
_cell_angle_beta 90.00
_cell_angle_gamma 90.00
loop_
_atom_site_label
_atom_site_type_symbol
_atom_site_fract_x
_atom_site_fract_y
_atom_site_fract_z
_atom_site_occupancy
K1 K 0.0000 0.0000 0.0000 1
Os1 Os 0.0000 0.0000 0.6981 1
Cl1 Cl 0.0000 0.0000 0.3381 1
```



# 6
Compound: K3OsCl
Source: Alexandria via LeMat-Bulk
Functional: PBE
Structure: relaxed

## Properties
The calculation puts the uncorrected formation energy at 0.4613 eV per atom.

```
data_K3OsCl
_symmetry_space_group_name_H-M 'P m -3 m'
_symmetry_Int_Tables_number 221
_symmetry_space_group_name_Hall '-P 4 2 3'
_cell_length_a 5.8510
_cell_length_b 5.8510
_cell_length_c 5.8510
_cell_angle_alpha 90.00
_cell_angle_beta 90.00
_cell_angle_gamma 90.00
loop_
_atom_site_label
_atom_site_type_symbol
_atom_site_fract_x
_atom_site_fract_y
_atom_site_fract_z
_atom_site_occupancy
K1 K 0.0000 0.0000 0.5000 1
Os1 Os 0.5000 0.5000 0.5000 1
Cl1 Cl 0.0000 0.0000 0.0000 1
```



# 7
Compound: K2Os2Cl
Source: Alexandria via LeMat-Bulk
Functional: PBE
Structure: relaxed

## Properties
The calculation puts the uncorrected formation energy at -0.0517 eV per atom.

```
data_K2Os2Cl
_symmetry_space_group_name_H-M 'I 4/m m m'
_symmetry_Int_Tables_number 139
_symmetry_space_group_name_Hall '-I 4 2'
_cell_length_a 3.5329
_cell_length_b 3.5329
_cell_length_c 19.9320
_cell_angle_alpha 90.00
_cell_angle_beta 90.00
_cell_angle_gamma 90.00
loop_
_atom_site_label
_atom_site_type_symbol
_atom_site_fract_x
_atom_site_fract_y
_atom_site_fract_z
_atom_site_occupancy
K1 K 0.0000 0.0000 0.0971 1
Os1 Os 0.0000 0.5000 0.2500 1
Cl1 Cl 0.0000 0.0000 0.5000 1
```



# 8
Compound: KOsCl
Source: Alexandria via LeMat-Bulk
Functional: PBE
Structure: relaxed

## Properties
The calculation puts the uncorrected formation energy at 0.8941 eV per atom.

```
data_KOsCl
_symmetry_space_group_name_H-M 'P 3 m 1'
_symmetry_Int_Tables_number 156
_cell_length_a 3.1163
_cell_length_b 3.1163
_cell_length_c 7.3885
_cell_angle_alpha 90.00
_cell_angle_beta 90.00
_cell_angle_gamma 120.00
loop_
_symmetry_equiv_pos_as_xyz
'x,y,z'
'-y,x-y,z'
'-x+y,-x,z'
'-y,-x,z'
'-x+y,y,z'
'x,x-y,z'
loop_
_atom_site_label
_atom_site_type_symbol
_atom_site_fract_x
_atom_site_fract_y
_atom_site_fract_z
_atom_site_occupancy
K1 K 0.0000 0.0000 0.0000 1
Os1 Os 0.3333 0.6667 0.3882 1
Cl1 Cl 0.6667 0.3333 0.6754 1
```



One value per record, in order, for magnetic moment: 0.0000; 0.2785; 0.0000; 0.1926; 0.8686; 0.4131; 0.0000; 0.7461 μB/atom.